# 1
Compound: Mn2PRu
Source: the Alexandria database
Functional: PBE-GGA
Structure: optimized geometry

Summary:
total magnetic moment: 0.16 μB per formula unit
energy of formation: -0.20 eV per atom
DFT total energy: -8.454 eV per atom
energy above the most stable polymorph in this dataset: 0.081 eV/atom
calculated volume: 49.69 Å³/f.u.

abc: 4.8845 4.8845 4.8845
angles: 145.96 129.67 62.16
Closest atoms and distances in Å follow each position.
Sites, in units of the cell vectors:
Mn1 0.7186 0.2186 0.5000  2 P 2.30, 4 Ru 2.57
Mn2 0.9979 0.9979 0.0000  4 P 2.52, 4 Mn 2.74-2.78, 4 Ru 2.76-2.77
P1 0.5025 0.5025 0.0000  6 Mn 2.30-2.52, 2 Ru 2.34
Ru1 0.2810 0.7810 0.5000  2 P 2.34, 4 Mn 2.57

***

# 2
Compound: Mn2PRu
Source: the Alexandria database
Functional: PBE-GGA
Structure: optimized geometry

Summary:
total magnetic moment: 0.00 μB per formula unit
energy of formation: -0.28 eV per atom
DFT total energy: -8.535 eV per atom
energy above the most stable polymorph in this dataset: 0.000 eV/atom
calculated volume: 47.12 Å³/f.u.

abc: 3.6851 4.5144 6.2047
angles: 90.00 90.00 114.09
Closest atoms and distances in Å follow each position.
Sites, in units of the cell vectors:
Mn1 0.3672 0.7344 0.5510  3 P 2.19-2.35, 1 Mn 2.28
Mn2 0.6328 0.2656 0.0510  3 P 2.19-2.35, 1 Mn 2.28
P1 0.2278 0.4556 0.2500  6 Mn 2.19-2.35, 1 Ru 2.34
Mn3 0.6328 0.2656 0.4490  3 P 2.19-2.35, 1 Mn 2.28
P2 0.7722 0.5444 0.7500  6 Mn 2.19-2.35, 1 Ru 2.34
Ru1 0.9443 0.8886 0.2500  3 P 2.34-2.56
Mn4 0.3672 0.7344 0.9490  3 P 2.19-2.35, 1 Mn 2.28
Ru2 0.0557 0.1114 0.7500  3 P 2.34-2.56

***

# 3
Compound: Mn2PRu
Source: the Alexandria database
Functional: PBE-GGA
Structure: optimized geometry

Summary:
total magnetic moment: 0.00 μB per formula unit
energy of formation: -0.20 eV per atom
DFT total energy: -8.459 eV per atom
energy above the most stable polymorph in this dataset: 0.076 eV/atom
calculated volume: 45.90 Å³/f.u.

abc: 2.7223 2.7223 6.1937
angles: 90.00 90.00 90.01
Closest atoms and distances in Å follow each position.
Sites, in units of the cell vectors:
Mn1 0.0000 0.0000 0.0357  4 P 2.34, 4 Ru 2.61
P1 0.5000 0.5000 0.2500  8 Mn 2.34
Mn2 0.0000 0.0000 0.4643  4 P 2.34, 4 Ru 2.61
Ru1 0.5000 0.5000 0.7500  8 Mn 2.61, 4 Ru 2.72

***

# 4
Compound: Mn4PRu
Source: the Alexandria database
Functional: PBE-GGA
Structure: optimized geometry

Summary:
total magnetic moment: 2.77 μB per formula unit
energy of formation: 0.34 eV per atom
DFT total energy: -8.221 eV per atom
calculated volume: 70.69 Å³/f.u.

abc: 4.6412 4.6412 4.6412
angles: 60.00 60.00 60.00
Closest atoms and distances in Å follow each position.
Sites, in units of the cell vectors:
Mn1 0.3760 0.3760 0.8720  6 Mn 2.30-2.34
Mn2 0.3760 0.3760 0.3760  6 Mn 2.30-2.34
Ru1 0.0000 0.0000 0.0000  12 Mn 2.72, 4 P 2.84
Mn3 0.3760 0.8720 0.3760  6 Mn 2.30-2.34
P1 0.7500 0.7500 0.7500  12 Mn 2.72, 4 Ru 2.84
Mn4 0.8720 0.3760 0.3760  6 Mn 2.30-2.34